Compound: RbNa3Li12Si4O16
Source: the Alexandria database
Functional: GGA-PBEsol
Structure: optimized geometry

Geometry as POSCAR:
```
RbNa3Li12Si4O16
1.0
-5.428 5.428 3.145
5.428 -5.428 3.145
5.428 5.428 -3.145
Rb Na Li Si O
1 3 12 4 16
Direct
0.000 0.000 0.000
0.250 0.750 0.500
0.500 0.500 0.000
0.750 0.250 0.500
0.022 0.149 0.659
0.073 0.284 0.358
0.149 0.490 0.127
0.284 0.927 0.211
0.363 0.022 0.873
0.490 0.363 0.341
0.510 0.637 0.659
0.637 0.978 0.127
0.716 0.073 0.789
0.851 0.510 0.873
0.927 0.716 0.642
0.978 0.851 0.341
0.220 0.575 0.795
0.425 0.220 0.646
0.575 0.780 0.354
0.780 0.425 0.205
0.087 0.366 0.888
0.107 0.674 0.781
0.161 0.434 0.595
0.199 0.087 0.721
0.326 0.107 0.432
0.366 0.478 0.279
0.434 0.839 0.273
0.478 0.199 0.112
0.522 0.801 0.888
0.566 0.161 0.727
0.634 0.522 0.721
0.674 0.893 0.568
0.801 0.913 0.279
0.839 0.566 0.405
0.893 0.326 0.219
0.913 0.634 0.112
```

Computed properties:
- Total magnetic moment: 0.00 μB/atom
- Raw formation energy: -2.342 eV per atom

***

Compound: YIr3Pb
Source: the Alexandria database
Functional: GGA-PBEsol
Structure: optimized geometry

Geometry as POSCAR:
```
YIr3Pb
1.0
4.906 0.000 0.000
0.000 4.906 0.000
0.000 0.000 4.906
Y Ir Pb
1 3 1
Direct
0.000 0.000 0.000
0.000 0.000 0.500
0.000 0.500 0.000
0.500 0.000 0.000
0.500 0.500 0.500
```

Computed properties:
- Calculated formation energy: 1.79 eV per atom
- Total magnetic moment: 0.00 μB/atom

***

Compound: RbTcWSe2
Source: the Alexandria database
Functional: GGA-PBEsol
Structure: optimized geometry

Geometry as POSCAR:
```
RbTcWSe2
1.0
4.850 0.000 0.000
0.000 4.850 0.000
0.000 0.000 6.119
Rb Tc W Se
1 1 1 2
Direct
0.000 0.000 0.000
0.500 0.500 0.000
0.000 0.000 0.500
0.000 0.500 0.500
0.500 0.000 0.500
```

Computed properties:
- Total magnetic moment: 1.00 μB/atom
- Raw formation energy: 1.552 eV per atom

***

Compound: TaP3
Source: the Alexandria database
Functional: GGA-PBEsol
Structure: optimized geometry

Geometry as POSCAR:
```
TaP3
1.0
-1.633 3.847 2.459
1.633 -3.847 2.459
1.633 3.847 -2.459
Ta P
1 3
Direct
0.000 0.000 0.000
0.386 0.886 0.500
0.522 0.210 0.312
0.898 0.210 0.688
```

Computed properties:
- Calculated formation energy: -0.53 eV per atom
- Total magnetic moment: 0.00 μB/atom

***

> Which formula does entry 4 have?

TaP3